1:
# DyInAg2 PBE optimized geometry
data_DyInAg2
_chemical_formula_sum 'Dy4 In4 Ag8'
_symmetry_space_group_name_H-M 'F m -3 m'
_symmetry_Int_Tables_number 225
_symmetry_space_group_name_Hall '-F 4 2 3'
_cell_length_a 6.996
_cell_length_b 6.996
_cell_length_c 6.996
_cell_angle_alpha 90.00
_cell_angle_beta 90.00
_cell_angle_gamma 90.00
loop_
_atom_site_label
_atom_site_fract_x
_atom_site_fract_y
_atom_site_fract_z
Dy1 0.000 0.000 0.000
In1 0.000 0.000 0.500
Ag1 0.250 0.250 0.250
# Fermi-level density of states	2.46	states/eV/f.u.

***

2:
# DyInAg2 PBE optimized geometry
data_DyInAg2
_chemical_formula_sum 'Dy1 In1 Ag2'
_symmetry_space_group_name_H-M 'P 4/m m m'
_symmetry_Int_Tables_number 123
_symmetry_space_group_name_Hall '-P 4 2'
_cell_length_a 3.740
_cell_length_b 3.740
_cell_length_c 6.493
_cell_angle_alpha 90.00
_cell_angle_beta 90.00
_cell_angle_gamma 90.00
loop_
_atom_site_label
_atom_site_fract_x
_atom_site_fract_y
_atom_site_fract_z
Dy1 0.000 0.000 0.000
In1 0.000 0.000 0.500
Ag1 0.500 0.500 0.246
# Fermi-level density of states	1.66	states/eV/f.u.

***

Which of them is least stable? Easy: 2.

***

1:
# Dy2In2Ag PBE optimized geometry
data_Dy2In2Ag
_chemical_formula_sum 'Dy4 In4 Ag2'
_symmetry_space_group_name_H-M 'A m m 2'
_symmetry_Int_Tables_number 38
_symmetry_space_group_name_Hall 'A 2 -2'
_cell_length_a 3.485
_cell_length_b 4.733
_cell_length_c 15.048
_cell_angle_alpha 90.00
_cell_angle_beta 90.00
_cell_angle_gamma 90.00
loop_
_atom_site_label
_atom_site_fract_x
_atom_site_fract_y
_atom_site_fract_z
Dy1 0.000 0.000 0.000
Dy2 0.000 0.000 0.229
In1 0.500 0.000 0.612
In2 0.500 0.000 0.817
Ag1 0.500 0.000 0.417
# Fermi-level density of states	4.15	states/eV/f.u.

***

2:
# Dy2In2Ag PBE optimized geometry
data_Dy2In2Ag
_chemical_formula_sum 'Dy8 In8 Ag4'
_symmetry_space_group_name_H-M 'C 1 2/m 1'
_symmetry_Int_Tables_number 12
_symmetry_space_group_name_Hall '-C 2y'
_cell_length_a 11.166
_cell_length_b 4.713
_cell_length_c 10.857
_cell_angle_alpha 90.00
_cell_angle_beta 115.55
_cell_angle_gamma 90.00
loop_
_atom_site_label
_atom_site_fract_x
_atom_site_fract_y
_atom_site_fract_z
Dy1 0.019 0.000 0.336
Dy2 0.174 0.000 0.099
In1 0.035 0.500 0.881
In2 0.142 0.500 0.575
Ag1 0.220 0.500 0.340
# Fermi-level density of states	3.13	states/eV/f.u.

***

Which of them is least stable? Easy: 2.

***

1:
# Dy4InAg3 PBE optimized geometry
data_Dy4InAg3
_chemical_formula_sum 'Dy4 In1 Ag3'
_symmetry_space_group_name_H-M 'P m m 2'
_symmetry_Int_Tables_number 25
_symmetry_space_group_name_Hall 'P 2 -2'
_cell_length_a 3.689
_cell_length_b 4.836
_cell_length_c 11.402
_cell_angle_alpha 90.00
_cell_angle_beta 90.00
_cell_angle_gamma 90.00
loop_
_atom_site_label
_atom_site_fract_x
_atom_site_fract_y
_atom_site_fract_z
Dy1 0.000 0.000 0.000
Dy2 0.000 0.500 0.281
Dy3 0.500 0.000 0.482
Dy4 0.500 0.500 0.796
In1 0.000 0.000 0.718
Ag1 0.000 0.500 0.558
Ag2 0.500 0.000 0.217
Ag3 0.500 0.500 0.064
# Fermi-level density of states	7.42	states/eV/f.u.

***

2:
# Dy4InAg3 PBE optimized geometry
data_Dy4InAg3
_chemical_formula_sum 'Dy12 In3 Ag9'
_symmetry_space_group_name_H-M 'R -3 m'
_symmetry_Int_Tables_number 166
_symmetry_space_group_name_Hall '-R 3 2"'
_cell_length_a 5.1874
_cell_length_b 5.1874
_cell_length_c 25.4721
_cell_angle_alpha 90.00
_cell_angle_beta 90.00
_cell_angle_gamma 120.00
loop_
_atom_site_label
_atom_site_fract_x
_atom_site_fract_y
_atom_site_fract_z
Dy1 0.0000 0.0000 0.1213
Dy2 0.0000 0.0000 0.3719
In1 0.0000 0.0000 0.5000
Ag1 0.0000 0.0000 0.0000
Ag2 0.0000 0.0000 0.2463
# Fermi-level density of states	5.26	states/eV/f.u.

***

Which of them is least stable? Easy: 1.

***

1:
# Dy2InAg3 PBE optimized geometry
data_Dy2InAg3
_chemical_formula_sum 'Dy16 In8 Ag24'
_symmetry_space_group_name_H-M 'F m m m'
_symmetry_Int_Tables_number 69
_symmetry_space_group_name_Hall '-F 2 2'
_cell_length_a 6.653
_cell_length_b 9.679
_cell_length_c 16.947
_cell_angle_alpha 90.00
_cell_angle_beta 90.00
_cell_angle_gamma 90.00
loop_
_atom_site_label
_atom_site_fract_x
_atom_site_fract_y
_atom_site_fract_z
Dy1 0.245 0.000 0.000
Dy2 0.250 0.250 0.250
In1 0.000 0.000 0.334
Ag1 0.000 0.000 0.167
Ag2 0.000 0.250 0.083
# Fermi-level density of states	4.40	states/eV/f.u.

***

2:
# Dy2InAg3 PBE optimized geometry
data_Dy2InAg3
_chemical_formula_sum 'Dy4 In2 Ag6'
_symmetry_space_group_name_H-M 'I m m 2'
_symmetry_Int_Tables_number 44
_symmetry_space_group_name_Hall 'I 2 -2'
_cell_length_a 3.768
_cell_length_b 4.263
_cell_length_c 18.254
_cell_angle_alpha 90.00
_cell_angle_beta 90.00
_cell_angle_gamma 90.00
loop_
_atom_site_label
_atom_site_fract_x
_atom_site_fract_y
_atom_site_fract_z
Dy1 0.000 0.000 0.000
Dy2 0.000 0.500 0.260
In1 0.000 0.000 0.591
Ag1 0.000 0.000 0.437
Ag2 0.000 0.500 0.682
Ag3 0.000 0.500 0.831
# Fermi-level density of states	3.09	states/eV/f.u.

***

Which of them is least stable? Easy: 2.